! PBE CrSbMo2, relaxed; values from VASP
! * E_form (uncorrected): 0.47 eV per atom
! * ρ: 9078 kg/m3
! * space group: R-3m (166)
! * E_tot: -33.51 eV per cell
! * crystal system: trigonal
&SYSTEM
  ibrav = 0, nat = 4, ntyp = 3
/
ATOMIC_SPECIES
Cr 52.00 Cr.upf
Mo 95.94 Mo.upf
Sb 121.76 Sb.upf
ATOMIC_POSITIONS angstrom
Cr -9.295 -11.967 10.443
Mo -0.126 -0.162 0.141
Sb -3.098 -3.989 3.481
Mo -6.071 -7.816 6.821
CELL_PARAMETERS angstrom
-5.662 -4.660 4.033
-3.346 -6.666 3.795
-3.385 -4.629 6.096



! PBE AcCrCo2H8, relaxed; values from VASP
! * ρ: 6512 kg/m3
! * space group: R-3 (148)
! * E_tot: -56.85 eV per cell
! * crystal system: trigonal
&SYSTEM
  ibrav = 0, nat = 12, ntyp = 4
/
ATOMIC_SPECIES
H 1.01 H.upf
Co 58.93 Co.upf
Ac 227.00 Ac.upf
Cr 52.00 Cr.upf
ATOMIC_POSITIONS angstrom
H 3.914 1.525 0.709
Co 6.882 3.973 5.170
Ac 4.588 2.649 2.832
H 3.952 3.794 0.709
H 6.882 3.973 3.519
Cr 0.000 0.000 0.000
H 2.294 1.324 2.146
H 5.261 3.772 4.955
Co 2.294 1.324 0.495
H 3.278 2.670 4.955
H 5.897 2.627 0.709
H 5.224 1.504 4.955
CELL_PARAMETERS angstrom
4.588 0.000 0.000
2.294 3.973 0.000
2.294 1.324 5.665



! PBE SmIn2Hg, relaxed; values from VASP
! * ρ: 9031 kg/m3
! * energy of formation from the pure elements: -0.240 eV/atom
! * space group: R-3m (166)
! * E_tot: -11.46 eV per cell
! * crystal system: trigonal
&SYSTEM
  ibrav = 0, nat = 4, ntyp = 3
/
ATOMIC_SPECIES
In 114.82 In.upf
Hg 200.59 Hg.upf
Sm 150.36 Sm.upf
ATOMIC_POSITIONS angstrom
In 7.143 4.124 3.768
Hg 4.762 2.749 2.718
In 2.381 1.375 1.667
Sm 0.000 0.000 0.000
CELL_PARAMETERS angstrom
4.762 0.000 0.000
2.381 4.124 0.000
2.381 1.375 5.435



! PBE Y3TlO, relaxed; values from VASP
! * E_form (uncorrected): -1.29 eV per atom
! * ρ: 6748 kg/m3
! * space group: P2_1/m (11)
! * E_tot: -66.32 eV per cell
! * crystal system: monoclinic
&SYSTEM
  ibrav = 0, nat = 10, ntyp = 3
/
ATOMIC_SPECIES
Tl 204.38 Tl.upf
Y 88.91 Y.upf
O 16.00 O.upf
ATOMIC_POSITIONS angstrom
Tl -6.690 -0.210 3.724
Y -3.763 -2.306 4.908
Y -5.064 -1.993 1.541
O -3.274 -0.251 5.898
Tl -2.157 -0.539 2.097
Y -3.783 1.244 4.279
Y -2.368 3.211 1.586
O -5.573 -0.498 -0.077
Y -5.085 1.557 0.912
Y -6.479 -3.960 4.235
CELL_PARAMETERS angstrom
-3.076 4.626 1.048
-5.489 -3.342 -1.360
-0.282 -2.033 6.133



! PBE ScAl, relaxed; values from VASP
! * ρ: 2976 kg/m3
! * energy of formation from the pure elements: -0.313 eV/atom
! * space group: I4_1/amd (141)
! * E_tot: -21.40 eV per cell
! * crystal system: tetragonal
&SYSTEM
  ibrav = 0, nat = 4, ntyp = 2
/
ATOMIC_SPECIES
Al 26.98 Al.upf
Sc 44.96 Sc.upf
ATOMIC_POSITIONS angstrom
Al -0.286 -1.845 2.535
Al 0.000 0.000 0.000
Sc -3.315 -1.292 3.195
Sc -1.109 0.920 2.799
CELL_PARAMETERS angstrom
-4.138 1.474 3.459
-2.491 -4.057 2.931
5.234 1.659 -1.055



! PBE KNa3La, relaxed; values from VASP
! * ρ: 2295 kg/m3
! * energy of formation from the pure elements: 0.647 eV/atom
! * space group: Pm-3m (221)
! * energy relative to the lowest polymorph listed for this composition: 0.000 eV/atom
! * E_tot: -6.75 eV per cell
! * crystal system: cubic
&SYSTEM
  ibrav = 0, nat = 5, ntyp = 3
/
ATOMIC_SPECIES
K 39.10 K.upf
La 138.91 La.upf
Na 22.99 Na.upf
ATOMIC_POSITIONS angstrom
K 0.000 0.000 0.000
La -1.617 -3.689 2.751
Na 1.089 -2.597 0.041
Na -2.595 -1.090 -0.104
Na -0.112 -0.002 2.814
CELL_PARAMETERS angstrom
-0.223 -0.005 5.628
-5.189 -2.180 -0.208
2.179 -5.193 0.082



The records above yield calculated volume values of 66.9; 103.3; 106.8; 239.7; 80.3; 178.7 Å³/cell, respectively.
The records above yield magnetization values of 0.00; 4.79; 0.00; 0.00; 0.00; 0.00 μB per cell, respectively.